DFT (PBE) results for a relaxed structure of TmGaSn2.

## Properties
- Energy of formation: -0.65 eV per formula unit
- Polymorph energy (0 for the lowest one): 246 meV per atom
- Density of states at the Fermi level: 2.55 states/eV per cell

Cell: 5.646 5.646 5.646 Å, 51.39 51.39 51.39°
Positions (direct):
Tm 0.000 0.000 0.000
Ga 0.500 0.500 0.500
Sn 0.230 0.230 0.230
Sn 0.770 0.770 0.770

DFT (PBE) results for a relaxed structure of Tm3Ga2Sn2.

## Properties
- Energy of formation: -4.06 eV per formula unit
- Density of states at the Fermi level: 3.74 states/eV per cell

Cell: 9.823 9.823 9.823 Å, 155.21 154.72 35.70°
Positions (direct):
Tm 0.000 0.000 0.000
Tm 0.182 0.682 0.500
Tm 0.818 0.318 0.500
Ga 0.436 0.436 0.000
Ga 0.564 0.564 0.000
Sn 0.347 0.847 0.500
Sn 0.653 0.153 0.500

DFT (PBE) results for a relaxed structure of Tm4Ga5Sn.

## Properties
- Energy of formation: -5.29 eV per formula unit
- Density of states at the Fermi level: 4.70 states/eV per cell

Cell: 7.550 7.550 7.550 Å, 147.02 95.83 93.42°
Positions (direct):
Tm 0.224 0.224 0.000
Tm 0.308 0.000 0.308
Tm 0.692 0.000 0.692
Tm 0.776 0.776 0.000
Ga 0.035 0.314 0.721
Ga 0.407 0.686 0.721
Ga 0.500 0.500 0.000
Ga 0.593 0.314 0.279
Ga 0.965 0.686 0.279
Sn 0.000 0.500 0.500

DFT (PBE) results for a relaxed structure of Tm4GaSn2.

## Properties
- Energy of formation: -3.93 eV per formula unit
- Density of states at the Fermi level: 5.37 states/eV per cell

Cell: 6.087 6.087 8.692 Å, 121.67 121.67 44.83°
Positions (direct):
Tm 0.080 0.080 0.377
Tm 0.329 0.329 0.944
Tm 0.671 0.671 0.056
Tm 0.920 0.920 0.623
Ga 0.000 0.000 0.000
Sn 0.343 0.343 0.331
Sn 0.657 0.657 0.669

DFT (PBE) results for a relaxed structure of UGaSn2.

## Properties
- Energy of formation: -0.69 eV per formula unit
- Polymorph energy (0 for the lowest one): 0 meV per atom
- Density of states at the Fermi level: 6.39 states/eV per cell

Cell: 4.470 4.470 4.609 Å, 90.00 90.00 90.00°
Positions (direct):
U 0.000 0.000 0.000
Ga 0.500 0.500 0.000
Sn 0.000 0.500 0.500
Sn 0.500 0.000 0.500

DFT (PBE) results for a relaxed structure of UGa4Sn.

## Properties
- Energy of formation: 0.19 eV per formula unit
- Density of states at the Fermi level: 7.41 states/eV per cell

Cell: 5.557 5.557 5.557 Å, 60.00 60.00 60.00°
Positions (direct):
U 0.000 0.000 0.000
Ga 0.375 0.375 0.375
Ga 0.375 0.375 0.875
Ga 0.375 0.875 0.375
Ga 0.875 0.375 0.375
Sn 0.750 0.750 0.750

DFT (PBE) results for a relaxed structure of U4Ga12Sn.

## Properties
- Energy of formation: -2.38 eV per formula unit
- Density of states at the Fermi level: 25.63 states/eV per cell

Cell: 7.579 7.579 7.579 Å, 109.47 109.47 109.47°
Positions (direct):
U 0.000 0.000 0.500
U 0.000 0.500 0.000
U 0.500 0.000 0.000
U 0.500 0.500 0.500
Ga 0.000 0.315 0.315
Ga 0.000 0.685 0.685
Ga 0.250 0.500 0.750
Ga 0.250 0.750 0.500
Ga 0.315 0.000 0.315
Ga 0.315 0.315 0.000
Ga 0.500 0.250 0.750
Ga 0.500 0.750 0.250
Ga 0.685 0.000 0.685
Ga 0.685 0.685 0.000
Ga 0.750 0.250 0.500
Ga 0.750 0.500 0.250
Sn 0.000 0.000 0.000

DFT (PBE) results for a relaxed structure of UGa2Sn.

## Properties
- Energy of formation: -0.82 eV per formula unit
- Polymorph energy (0 for the lowest one): 0 meV per atom
- Density of states at the Fermi level: 5.89 states/eV per cell

Cell: 4.446 4.446 4.271 Å, 90.00 90.00 90.00°
Positions (direct):
U 0.000 0.000 0.000
Ga 0.000 0.500 0.500
Ga 0.500 0.000 0.500
Sn 0.500 0.500 0.000

DFT (PBE) results for a relaxed structure of U2Ga9Sn.

## Properties
- Energy of formation: -1.11 eV per formula unit
- Density of states at the Fermi level: 14.06 states/eV per cell

Cell: 4.271 4.271 13.130 Å, 90.00 90.00 90.00°
Positions (direct):
U 0.000 0.000 0.162
U 0.000 0.000 0.838
Ga 0.000 0.500 0.000
Ga 0.000 0.500 0.325
Ga 0.000 0.500 0.675
Ga 0.500 0.000 0.000
Ga 0.500 0.000 0.325
Ga 0.500 0.000 0.675
Ga 0.500 0.500 0.157
Ga 0.500 0.500 0.500
Ga 0.500 0.500 0.843
Sn 0.000 0.000 0.500

DFT (PBE) results for a relaxed structure of UGaSn.

## Properties
- Energy of formation: -0.03 eV per formula unit
- Polymorph energy (0 for the lowest one): 131 meV per atom
- Density of states at the Fermi level: 4.20 states/eV per cell

Cell: 5.098 5.098 2.952 Å, 90.00 90.00 120.00°
Positions (direct):
U 0.000 0.000 0.000
Ga 0.667 0.333 0.500
Sn 0.333 0.667 0.500

DFT (PBE) results for a relaxed structure of UGa2Sn.

## Properties
- Energy of formation: 0.43 eV per formula unit
- Polymorph energy (0 for the lowest one): 315 meV per atom
- Density of states at the Fermi level: 7.69 states/eV per cell

Cell: 5.000 5.000 5.000 Å, 60.00 60.00 60.00°
Positions (direct):
U 0.000 0.000 0.000
Ga 0.250 0.250 0.250
Ga 0.750 0.750 0.750
Sn 0.500 0.500 0.500

DFT (PBE) results for a relaxed structure of U2GaSn.

## Properties
- Energy of formation: -0.09 eV per formula unit
- Density of states at the Fermi level: 5.79 states/eV per cell

Cell: 4.068 4.068 5.052 Å, 90.00 90.00 90.00°
Positions (direct):
U 0.000 0.500 0.000
U 0.500 0.000 0.000
Ga 0.000 0.000 0.500
Sn 0.500 0.500 0.500

DFT (PBE) results for a relaxed structure of UGa2Sn.

## Properties
- Energy of formation: 0.15 eV per formula unit
- Polymorph energy (0 for the lowest one): 242 meV per atom
- Density of states at the Fermi level: 7.95 states/eV per cell

Cell: 3.645 3.645 6.570 Å, 90.00 90.00 90.00°
Positions (direct):
U 0.000 0.000 0.000
Ga 0.500 0.500 0.271
Ga 0.500 0.500 0.729
Sn 0.000 0.000 0.500

DFT (PBE) results for a relaxed structure of UGaSn.

## Properties
- Energy of formation: 0.29 eV per formula unit
- Polymorph energy (0 for the lowest one): 236 meV per atom
- Density of states at the Fermi level: 7.43 states/eV per cell

Cell: 6.217 6.217 6.217 Å, 147.41 147.41 46.75°
Positions (direct):
U 0.000 0.000 0.000
Ga 0.332 0.332 0.000
Sn 0.695 0.695 0.000

DFT (PBE) results for a relaxed structure of U4Ga15Sn.

## Properties
- Energy of formation: -3.03 eV per formula unit
- Density of states at the Fermi level: 21.98 states/eV per cell

Cell: 4.271 4.271 21.631 Å, 90.00 90.00 90.00°
Positions (direct):
U 0.000 0.000 0.099
U 0.000 0.000 0.296
U 0.000 0.000 0.704
U 0.000 0.000 0.901
Ga 0.000 0.500 0.000
Ga 0.000 0.500 0.197
Ga 0.000 0.500 0.394
Ga 0.000 0.500 0.606
Ga 0.000 0.500 0.803
Ga 0.500 0.000 0.000
Ga 0.500 0.000 0.197
Ga 0.500 0.000 0.394
Ga 0.500 0.000 0.606
Ga 0.500 0.000 0.803
Ga 0.500 0.500 0.098
Ga 0.500 0.500 0.292
Ga 0.500 0.500 0.500
Ga 0.500 0.500 0.708
Ga 0.500 0.500 0.902
Sn 0.000 0.000 0.500

DFT (PBE) results for a relaxed structure of UGaSn2.

## Properties
- Energy of formation: 0.40 eV per formula unit
- Polymorph energy (0 for the lowest one): 272 meV per atom
- Density of states at the Fermi level: 5.93 states/eV per cell

Cell: 11.532 11.532 11.532 Å, 15.55 15.55 15.55°
Positions (direct):
U 0.000 0.000 0.000
Ga 0.500 0.500 0.500
Sn 0.415 0.415 0.415
Sn 0.585 0.585 0.585

DFT (PBE) results for a relaxed structure of UGa2Sn2.

## Properties
- Energy of formation: 0.69 eV per formula unit
- Density of states at the Fermi level: 12.80 states/eV per cell

Cell: 4.854 4.854 12.195 Å, 90.00 90.00 120.00°
Positions (direct):
U 0.000 0.000 0.250
U 0.000 0.000 0.750
Ga 0.000 0.000 0.000
Ga 0.000 0.000 0.500
Ga 0.333 0.667 0.250
Ga 0.667 0.333 0.750
Sn 0.333 0.667 0.612
Sn 0.333 0.667 0.888
Sn 0.667 0.333 0.112
Sn 0.667 0.333 0.388

DFT (PBE) results for a relaxed structure of UGaSn.

## Properties
- Energy of formation: -0.42 eV per formula unit
- Polymorph energy (0 for the lowest one): 0 meV per atom
- Density of states at the Fermi level: 9.19 states/eV per cell

Cell: 7.163 7.163 3.900 Å, 90.00 90.00 140.21°
Positions (direct):
U 0.061 0.939 0.750
U 0.939 0.061 0.250
Ga 0.429 0.571 0.750
Ga 0.571 0.429 0.250
Sn 0.259 0.741 0.250
Sn 0.741 0.259 0.750

DFT (PBE) results for a relaxed structure of U2GaSn.

## Properties
- Energy of formation: 0.13 eV per formula unit
- Density of states at the Fermi level: 9.60 states/eV per cell

Cell: 10.963 10.963 10.963 Å, 16.04 16.04 16.04°
Positions (direct):
U 0.246 0.246 0.246
U 0.754 0.754 0.754
Ga 0.500 0.500 0.500
Sn 0.000 0.000 0.000

DFT (PBE) results for a relaxed structure of VGaSn2.

## Properties
- Energy of formation: 1.61 eV per formula unit
- Polymorph energy (0 for the lowest one): 104 meV per atom
- Density of states at the Fermi level: 8.83 states/eV per cell

Cell: 6.252 6.252 6.252 Å, 103.08 103.08 123.20°
Positions (direct):
V 0.000 0.000 0.000
V 0.750 0.250 0.500
Ga 0.250 0.750 0.500
Ga 0.500 0.500 0.000
Sn 0.129 0.625 0.004
Sn 0.375 0.379 0.504
Sn 0.621 0.125 0.996
Sn 0.875 0.871 0.496